# PmCo6B4 PBE-GGA optimized geometry
data_PmCo6B4
_space_group_name_H-M_alt 'P 1'
_space_group_IT_number 1
_cell_length_a 5.0556
_cell_length_b 5.0556
_cell_length_c 5.1894
_cell_angle_alpha 109.92
_cell_angle_beta 109.92
_cell_angle_gamma 84.02
loop_
_space_group_symop_operation_xyz
'x,y,z'
loop_
_atom_site_label
_atom_site_type_symbol
_atom_site_fract_x
_atom_site_fract_y
_atom_site_fract_z
Pm1 Pm 0.0000 0.0000 0.0000
Co1 Co 0.0989 0.0989 0.5457
Co2 Co 0.4312 0.7893 0.7255
Co3 Co 0.4577 0.4577 0.2223
Co4 Co 0.5817 0.9756 0.3992
Co5 Co 0.7893 0.4312 0.7255
Co6 Co 0.9756 0.5817 0.3992
B1 B 0.2195 0.4938 0.8159
B2 B 0.3553 0.3553 0.5084
B3 B 0.4938 0.2195 0.8159
B4 B 0.6463 0.6463 0.0556
# Calculated volume in Å³/atom: 10.66
# DFT formation energy in eV/atom: -0.081
# E in eV/atom: -6.817
# Spin magnetization in μB/cell: 2.03
# Excess energy over the best structure of this formula in the dataset in meV/atom: 146.6
# N(E_F) in states/eV per cell: 9.63